Record 1
La4PS3 (GGA-PBE, relaxed); E_form (uncorrected) = -2.055 eV per atom; SG = Pm-3m; final energy = -6.742 eV/atom; size of the total moment = 0.0 Bohr magnetons per cell
1.0
5.919 0.000 0.000
0.000 5.919 0.000
0.000 0.000 5.919
La P S
4 1 3
direct
0.000 0.000 0.000
0.000 0.500 0.500
0.500 0.000 0.500
0.500 0.500 0.000
0.500 0.500 0.500
0.000 0.000 0.500
0.000 0.500 0.000
0.500 0.000 0.000


Record 2
TlHPt2Rh (GGA-PBE, relaxed); SG = P4/mmm; final energy = -5.034 eV/atom; size of the total moment = 0.0 Bohr magnetons per cell
1.0
4.059 0.000 0.000
0.000 4.059 0.000
0.000 0.000 4.236
Tl H Pt Rh
1 1 2 1
direct
0.000 0.000 0.000
0.500 0.500 0.500
0.000 0.500 0.500
0.500 0.000 0.500
0.500 0.500 0.000


Record 3
Cs6ScS4 (GGA-PBE, relaxed); E_form (uncorrected) = -1.208 eV per atom; SG = P6_3mc; final energy = -3.750 eV/atom; size of the total moment = 1.0 Bohr magnetons per cell
1.0
11.153 0.000 0.000
-5.577 9.659 0.000
0.000 0.000 8.474
Cs Sc S
12 2 8
direct
0.067 0.534 0.000
0.136 0.272 0.314
0.136 0.864 0.314
0.272 0.136 0.814
0.466 0.534 0.000
0.466 0.933 0.000
0.534 0.067 0.500
0.534 0.466 0.500
0.728 0.864 0.314
0.864 0.136 0.814
0.864 0.728 0.814
0.933 0.466 0.500
0.333 0.667 0.598
0.667 0.333 0.098
0.212 0.425 0.696
0.212 0.788 0.696
0.333 0.667 0.305
0.425 0.212 0.196
0.575 0.788 0.696
0.667 0.333 0.805
0.788 0.212 0.196
0.788 0.575 0.196


Record 4
FeAs2Br (GGA-PBE, relaxed); E_form (uncorrected) = 0.108 eV per atom; SG = R3m; final energy = -4.750 eV/atom; E above lowest polymorph = 13.3 kJ/mol of atoms; size of the total moment = 3.1 Bohr magnetons per cell
1.0
1.736 1.003 8.708
-1.736 1.003 8.708
0.000 -2.005 8.708
Fe As Br
1 2 1
direct
0.000 0.000 0.000
0.464 0.464 0.464
0.737 0.737 0.737
0.275 0.275 0.275


Record 5
HfNpFeTc (GGA-PBE, relaxed); SG = F-43m; final energy = -10.468 eV/atom; energy of formation = -0.04 eV per atom; size of the total moment = 2.4 Bohr magnetons per cell
1.0
0.000 3.266 3.266
3.266 0.000 3.266
3.266 3.266 0.000
Hf Np Fe Tc
1 1 1 1
direct
0.000 0.000 0.000
0.500 0.500 0.500
0.250 0.250 0.250
0.750 0.750 0.750


Record 6
TbZrSi2O8 (GGA-PBE, relaxed); E_form (uncorrected) = -2.928 eV per atom; SG = I-4m2; final energy = -8.236 eV/atom; size of the total moment = 0.6 Bohr magnetons per cell
1.0
-3.437 3.437 3.064
3.437 -3.437 3.064
3.437 3.437 -3.064
Tb Zr Si O
1 1 2 8
direct
0.000 0.000 0.000
0.250 0.750 0.500
0.500 0.500 0.000
0.750 0.250 0.500
0.333 0.145 0.812
0.333 0.522 0.188
0.394 0.070 0.324
0.478 0.667 0.812
0.746 0.070 0.676
0.855 0.667 0.188
0.930 0.254 0.324
0.930 0.606 0.676